No. 1
An optimized crystal structure of ErScSiRh. Source: Alexandria, functional PBE.

Results
The uncorrected formation energy comes out at -714.0 meV per atom.

The structure in POSCAR format:
```
ErScSiRh
1.0
0.000 3.359 3.359
3.359 0.000 3.359
3.359 3.359 0.000
Er Sc Si Rh
1 1 1 1
direct
0.000 0.000 0.000
0.500 0.500 0.500
0.250 0.250 0.250
0.750 0.750 0.750
```

No. 2
An optimized crystal structure of Er2ScSi2Rh5. Source: Alexandria, functional PBE.

Results
The uncorrected formation energy comes out at -1036.1 meV per atom.

The structure in POSCAR format:
```
Er2ScSi2Rh5
1.0
9.822 0.000 0.000
0.000 9.822 0.000
0.000 0.000 3.476
Er Sc Si Rh
4 2 4 10
direct
0.174 0.326 0.000
0.326 0.826 0.000
0.674 0.174 0.000
0.826 0.674 0.000
0.000 0.000 0.000
0.500 0.500 0.000
0.124 0.624 0.000
0.376 0.124 0.000
0.624 0.876 0.000
0.876 0.376 0.000
0.000 0.500 0.500
0.069 0.784 0.500
0.216 0.069 0.500
0.284 0.569 0.500
0.431 0.284 0.500
0.500 0.000 0.500
0.569 0.716 0.500
0.716 0.431 0.500
0.784 0.931 0.500
0.931 0.216 0.500
```